A geometry-optimized Fe2CuTc structure, computed with GGA-PBE.

Cell lengths 2.6131, 3.6860, 5.1511 Å; angles 90.00, 90.00, 90.00 degrees
Closest atoms and distances in Å follow each position.
Space group Pmmm (No. 47)
Symmetry-distinct sites (fractional):
Fe: 0.0000 0.0000 0.2499  4 Fe 2.57-2.61, 4 Cu 2.60, 4 Tc 2.60
Cu: 0.5000 0.5000 0.0000  2 Tc 2.58, 8 Fe 2.60, 2 Cu 2.61
Tc: 0.5000 0.5000 0.5000  2 Cu 2.58, 8 Fe 2.60, 2 Tc 2.61

- calculated formation energy (eV/atom) = 0.1881
- M_tot (μB per formula unit) = 3.9
- volume (Å³/atom) = 12.40
- DFT total energy (eV per atom) = -7.659
- crystal system = orthorhombic

***

A geometry-optimized Fe2CuTc structure, computed with GGA-PBE.

Cell lengths 5.8405, 5.8405, 5.8405 Å; angles 90.00, 90.00, 90.00 degrees
Closest atoms and distances in Å follow each position.
Space group F-43m (No. 216)
Symmetry-distinct sites (fractional):
Fe: 0.0000 0.0000 0.0000  4 Fe 2.53, 4 Cu 2.53
Fe: 0.2500 0.2500 0.2500  4 Fe 2.53, 4 Tc 2.53
Cu: 0.2500 0.2500 0.7500  4 Fe 2.53, 4 Tc 2.53
Tc: 0.0000 0.0000 0.5000  4 Fe 2.53, 4 Cu 2.53

- calculated formation energy (eV/atom) = 0.2486
- M_tot (μB per formula unit) = 4.0
- volume (Å³/atom) = 12.45
- DFT total energy (eV per atom) = -7.598
- crystal system = cubic

***

A geometry-optimized Fe2CuTc structure, computed with GGA-PBE.

Cell lengths 2.4936, 4.2427, 4.8035 Å; angles 90.00, 97.22, 90.00 degrees
Closest atoms and distances in Å follow each position.
Space group P2/m (No. 10)
Symmetry-distinct sites (fractional):
Fe: 0.2396 0.0000 0.2519  4 Fe 2.49-2.57, 2 Cu 2.54, 2 Tc 2.57
Cu: 0.0000 0.5000 0.5000  2 Cu 2.49, 4 Fe 2.54, 2 Tc 2.56
Tc: 0.5000 0.5000 0.0000  2 Tc 2.49, 2 Cu 2.56, 4 Fe 2.57

- calculated formation energy (eV/atom) = 0.1999
- M_tot (μB per formula unit) = 4.9
- volume (Å³/atom) = 12.60
- DFT total energy (eV per atom) = -7.647
- crystal system = monoclinic